[1]
Entry from Alexandria: a relaxed structure of AgPtSN2 (PBE-GGA).

Lattice parameters (Å, degrees): 3.9054 3.9054 5.6374 90.00 90.00 90.00
Closest atoms and distances in Å follow each position.
Element x y z (fractional)
1 Pt 0.5000 0.5000 0.5000  4 S 2.76
2 S 0.0000 0.0000 0.5000  4 Pt 2.76, 2 Ag 2.82
3 Ag 0.0000 0.0000 0.0000  4 N 1.95
4 N 0.5000 0.0000 0.0000  2 Ag 1.95
5 N 0.0000 0.5000 0.0000  2 Ag 1.95

Calculated values
E_form (uncorrected), eV/atom: 2.1127
Energy relative to the lowest polymorph listed for this composition, meV per atom: 974
Magnetization, μB/atom: 0.74
Mass density, g/cm3: 7.011


[2]
Entry from Alexandria: a relaxed structure of NaSr2HgO (PBE-GGA).

Lattice parameters (Å, degrees): 5.1126 5.1126 5.0095 90.00 90.00 90.00
Closest atoms and distances in Å follow each position.
Element x y z (fractional)
1 O 0.0000 0.0000 0.0000  2 Na 2.50, 4 Sr 2.56
2 Sr 0.0000 0.5000 0.0000  2 O 2.56
3 Sr 0.5000 0.0000 0.0000  2 O 2.56
4 Na 0.0000 0.0000 0.5000  2 O 2.50
5 Hg 0.5000 0.5000 0.5000  8 Sr 3.58, 4 Na 3.62

Calculated values
E_form (uncorrected), eV/atom: -1.1520
Magnetization, μB/atom: 0.00
Mass density, g/cm3: 5.261


[3]
Entry from Alexandria: a relaxed structure of LiSb4Au (PBE-GGA).

Lattice parameters (Å, degrees): 6.2121 6.2121 6.2121 60.00 60.00 60.00
Closest atoms and distances in Å follow each position.
Element x y z (fractional)
1 Sb 0.8638 0.3787 0.3787  6 Sb 3.01-3.20
2 Sb 0.3787 0.3787 0.3787  6 Sb 3.01-3.20
3 Sb 0.3787 0.8638 0.3787  6 Sb 3.01-3.20
4 Sb 0.3787 0.3787 0.8638  6 Sb 3.01-3.20
5 Li 0.0000 0.0000 0.0000  12 Sb 3.65, 4 Au 3.80
6 Au 0.7500 0.7500 0.7500  12 Sb 3.63, 4 Li 3.80

Calculated values
E_form (uncorrected), eV/atom: 0.2291
Magnetization, μB/atom: 0.00
Mass density, g/cm3: 6.769


[4]
Entry from Alexandria: a relaxed structure of Ac2ZnSb (PBE-GGA).

Lattice parameters (Å, degrees): 5.6733 5.6733 5.6733 60.00 60.00 60.00
Closest atoms and distances in Å follow each position.
Element x y z (fractional)
1 Ac 0.7500 0.7500 0.7500  4 Zn 3.47, 4 Sb 3.47
2 Ac 0.2500 0.2500 0.2500  4 Sb 3.47, 4 Zn 3.47
3 Zn 0.0000 0.0000 0.0000  8 Ac 3.47
4 Sb 0.5000 0.5000 0.5000  8 Ac 3.47

Calculated values
E_form (uncorrected), eV/atom: -0.5333
Energy relative to the lowest polymorph listed for this composition, meV per atom: 69
Magnetization, μB/atom: 0.00
Mass density, g/cm3: 8.246


[5]
Entry from Alexandria: a relaxed structure of GdErPuGa (PBE-GGA).

Lattice parameters (Å, degrees): 5.2713 5.2713 5.2713 60.00 60.00 60.00
Closest atoms and distances in Å follow each position.
Element x y z (fractional)
1 Gd 0.2500 0.2500 0.2500  4 Pu 3.23, 4 Ga 3.23
2 Ga 0.0000 0.0000 0.0000  4 Gd 3.23, 4 Er 3.23
3 Er 0.7500 0.7500 0.7500  4 Pu 3.23, 4 Ga 3.23
4 Pu 0.5000 0.5000 0.5000  4 Er 3.23, 4 Gd 3.23

Calculated values
Energy of formation, eV per atom: -0.0313
Magnetization, μB/atom: 3.53
Mass density, g/cm3: 10.232


[6]
Entry from Alexandria: a relaxed structure of LaInBr2 (PBE-GGA).

Lattice parameters (Å, degrees): 5.6345 5.6345 6.1335 77.85 77.85 40.06
Closest atoms and distances in Å follow each position.
Element x y z (fractional)
1 Br 0.5313 0.5313 0.4692  2 La 3.08, 1 In 3.18
2 Br 0.9687 0.9687 0.0308  2 La 3.08, 1 In 3.18
3 La 0.2500 0.2500 0.2500  4 Br 3.08
4 In 0.7500 0.7500 0.7500  2 Br 3.18

Calculated values
E_form (uncorrected), eV/atom: -1.0925
Energy relative to the lowest polymorph listed for this composition, meV per atom: 28
Magnetization, μB/atom: 0.00
Mass density, g/cm3: 5.622


[7]
Entry from Alexandria: a relaxed structure of CaHoCdAg (PBE-GGA).

Lattice parameters (Å, degrees): 5.2432 5.2432 5.2432 60.00 60.00 60.00
Closest atoms and distances in Å follow each position.
Element x y z (fractional)
1 Cd 0.2500 0.2500 0.2500  4 Ho 3.21, 4 Ca 3.21
2 Ag 0.7500 0.7500 0.7500  4 Ca 3.21, 4 Ho 3.21
3 Ca 0.5000 0.5000 0.5000  4 Cd 3.21, 4 Ag 3.21
4 Ho 0.0000 0.0000 0.0000  4 Ag 3.21, 4 Cd 3.21

Calculated values
Energy of formation, eV per atom: -0.2973
Energy relative to the lowest polymorph listed for this composition, meV per atom: 26
Magnetization, μB/atom: 0.00
Mass density, g/cm3: 6.929


[8]
Entry from Alexandria: a relaxed structure of Y2MgCl (PBE-GGA).

Lattice parameters (Å, degrees): 3.5187 6.1092 5.2748 90.00 90.00 90.00
Closest atoms and distances in Å follow each position.
Element x y z (fractional)
1 Mg 0.0000 0.5000 0.5000  4 Y 3.17, 2 Mg 3.52, 4 Cl 3.53
2 Cl 0.5000 0.0000 0.5000  4 Y 3.17, 2 Cl 3.52, 4 Mg 3.53
3 Y 0.5000 0.5000 0.0000  4 Mg 3.17, 6 Y 3.52-3.53
4 Y 0.0000 0.0000 0.0000  4 Cl 3.17, 6 Y 3.52-3.53

Calculated values
E_form (uncorrected), eV/atom: -0.2881
Energy relative to the lowest polymorph listed for this composition, meV per atom: 360
Magnetization, μB/atom: 0.00
Mass density, g/cm3: 3.479


[9]
Entry from Alexandria: a relaxed structure of BaLa (PBE-GGA).

Lattice parameters (Å, degrees): 4.5568 4.5568 4.5568 90.00 90.00 90.00
Closest atoms and distances in Å follow each position.
Element x y z (fractional)
1 La 0.5000 0.5000 0.5000  8 Ba 3.95
2 Ba 0.0000 0.0000 0.0000  8 La 3.95

Calculated values
Energy of formation, eV per atom: 0.2877
Energy relative to the lowest polymorph listed for this composition, meV per atom: 191
Magnetization, μB/atom: 0.00
Mass density, g/cm3: 4.848


[10]
Entry from Alexandria: a relaxed structure of K2PaCl8 (PBE-GGA).

Lattice parameters (Å, degrees): 4.9902 7.0357 11.1751 99.84 102.90 90.00
Closest atoms and distances in Å follow each position.
Element x y z (fractional)
1 Pa 0.5000 0.0000 0.0000  4 Cl 2.59
2 Cl 0.7417 0.5891 0.4834  2 Cl 2.84, 1 K 3.05
3 Cl 0.2583 0.4109 0.5166  2 Cl 2.84, 1 K 3.05
4 Cl 0.6106 0.9111 0.2213  1 Pa 2.59
5 Cl 0.9821 0.1946 0.9643  2 Pa 2.90, 5 Cl 2.97-3.22
6 Cl 0.0179 0.8054 0.0357  2 Pa 2.90, 5 Cl 2.97-3.22
7 Cl 0.4313 0.6608 0.8625  1 Pa 2.59
8 Cl 0.3894 0.0889 0.7787  1 Pa 2.59
9 Cl 0.5687 0.3392 0.1375  1 Pa 2.59
10 K 0.1456 0.6142 0.2912  6 Cl 3.05-3.41
11 K 0.8544 0.3858 0.7088  6 Cl 3.05-3.41

Calculated values
E_form (uncorrected), eV/atom: -1.5878
Magnetization, μB/atom: 0.09
Mass density, g/cm3: 2.615


[11]
Entry from Alexandria: a relaxed structure of Hf2TaBe2 (PBE-GGA).

Lattice parameters (Å, degrees): 7.0630 7.0630 3.2139 90.00 90.00 90.00
Closest atoms and distances in Å follow each position.
Element x y z (fractional)
1 Hf 0.3185 0.1815 0.5000  6 Be 2.62-2.67
2 Hf 0.1815 0.6815 0.5000  6 Be 2.62-2.67
3 Hf 0.8185 0.3185 0.5000  6 Be 2.62-2.67
4 Hf 0.6815 0.8185 0.5000  6 Be 2.62-2.67
5 Ta 0.0000 0.0000 0.0000  4 Be 2.86, 8 Hf 3.05
6 Ta 0.5000 0.5000 0.0000  4 Be 2.86, 8 Hf 3.05
7 Be 0.3887 0.8887 0.0000  1 Be 2.22
8 Be 0.8887 0.6113 0.0000  1 Be 2.22
9 Be 0.6113 0.1113 0.0000  1 Be 2.22
10 Be 0.1113 0.3887 0.0000  1 Be 2.22

Calculated values
Energy of formation, eV per atom: -0.0320
Magnetization, μB/atom: 0.00
Mass density, g/cm3: 11.516


[12]
Entry from Alexandria: a relaxed structure of YTmRh (PBE-GGA).

Lattice parameters (Å, degrees): 4.5769 5.5453 6.3328 106.40 90.00 90.00
Closest atoms and distances in Å follow each position.
Element x y z (fractional)
1 Y 0.7522 0.5817 0.2893  4 Rh 2.79-3.04
2 Y 0.2522 0.4260 0.7139  4 Rh 2.79-3.04
3 Tm 0.2522 0.0316 0.1945  3 Rh 2.73-2.80
4 Tm 0.7522 0.9762 0.8088  3 Rh 2.73-2.80
5 Rh 0.7523 0.1526 0.4359  3 Tm 2.73-2.80, 4 Y 2.79-3.04
6 Rh 0.2523 0.8550 0.5673  3 Tm 2.73-2.80, 4 Y 2.79-3.04

Calculated values
Energy of formation, eV per atom: -0.5889
Energy relative to the lowest polymorph listed for this composition, meV per atom: 16
Magnetization, μB/atom: 0.00
Mass density, g/cm3: 7.770


| no. | VASP energy (eV per atom) | DOS at the Fermi energy (states/eV/atom) |
| --- | --- | --- |
| 1 | -3.821 | 0.802 |
| 2 | -3.141 | 0.639 |
| 3 | -3.384 | 0.515 |
| 4 | -3.937 | 1.048 |
| 5 | -9.032 | 3.660 |
| 6 | -3.845 | 0.522 |
| 7 | -2.884 | 0.722 |
| 8 | -4.380 | 1.156 |
| 9 | -3.137 | 1.869 |
| 10 | -3.994 | 0.029 |
| 11 | -7.874 | 1.236 |
| 12 | -6.685 | 1.025 |